[1]
Here is a relaxed structure of SmHoPO from the Open Quantum Materials Database. Energies are from GGA-PBE.

Cell: 4.2390 7.4428 5.8570 Å, 90.00 90.00 90.00°
Closest atoms and distances in Å follow each position.
Space group Pmc2_1 (No. 26)
Asymmetric unit:
Sm  0.0000  0.1990  0.0000 x2  2 O 2.38
Ho  0.5000  0.3809  0.5665 x2  2 O 2.21-2.24
P  0.0000  0.1728  0.4947 x2  2 Ho 2.66, 3 Sm 2.77-2.97
O  0.5000  0.3359  0.9388 x2  2 Ho 2.21-2.24, 2 Sm 2.38

Values from the calculation:
For the energy above the most stable polymorph in this dataset, the calculation gives 0.0 meV/atom. The calculation puts the total energy at -0.2546 hartree per atom.

---

[2]
Here is a relaxed structure of CsLuCuSe3 from the Open Quantum Materials Database. Energies are from GGA-PBE.

Cell: 4.0329 16.0709 10.7174 Å, 90.00 90.00 90.00°
Closest atoms and distances in Å follow each position.
Space group Cmcm (No. 63)
Asymmetric unit:
Cs  0.0000  0.2440  0.2500 x4  8 Se 3.66-3.89, 2 Cs 4.03, 2 Cu 4.08
Lu  0.0000  0.5000  0.0000 x4  6 Se 2.81-2.82
Cu  0.0000  0.0356  0.7500 x4  4 Se 2.43-2.48
Se  0.0000  0.1157  0.5572 x8  1 Cu 2.43
Se  0.0000  0.4462  0.7500 x4  2 Cu 2.48

Values from the calculation:
The calculation puts the total energy at -0.1633 hartree per atom.

---

[3]
Here is a relaxed structure of Zn2Ni2As3P from the Open Quantum Materials Database. Energies are from GGA-PBE.

Cell: 12.1815 5.4020 5.4186 Å, 90.00 116.15 90.00°
Closest atoms and distances in Å follow each position.
Space group C2 (No. 5)
Asymmetric unit:
Zn  0.1180  0.0000  0.3554 x4  1 P 2.37, 3 As 2.51-2.52
Ni  0.1216  0.4784  0.8798 x4  1 P 2.15, 3 As 2.27
As  0.0000  0.6988  0.5000 x2  2 Ni 2.27, 2 Zn 2.51
As  0.2499  0.2339  0.7858 x4  2 Ni 2.27, 2 Zn 2.51-2.52
P  0.0000  0.2804  0.0000 x2  2 Ni 2.15, 2 Zn 2.37

Values from the calculation:
The calculation puts the total energy at -0.1509 hartree per atom.

---

[4]
Here is a relaxed structure of LaTbP2Ir2O2 from the Open Quantum Materials Database. Energies are from GGA-PBE.

Cell: 3.9878 3.9878 8.2874 Å, 90.00 90.00 90.00°
Closest atoms and distances in Å follow each position.
Space group P4mm (No. 99)
Asymmetric unit:
La  0.0000  0.0000  0.0000 x1  4 O 2.36
Tb  0.5000  0.5000  0.2830 x1  4 O 2.27
P  0.0000  0.0000  0.4777 x1  4 Ir 2.38
P  0.5000  0.5000  0.7923 x1  4 Ir 2.39
Ir  0.0000  0.5000  0.6341 x2  4 P 2.38-2.39
O  0.0000  0.5000  0.1525 x2  2 Tb 2.27, 2 La 2.36

Values from the calculation:
The calculation puts the total energy at -0.2936 hartree per atom.

---

[5]
Here is a relaxed structure of YScZn6 from the Open Quantum Materials Database. Energies are from GGA-PBE.

Cell: 4.5861 4.5861 6.4981 Å, 90.00 90.00 90.00°
Closest atoms and distances in Å follow each position.
Space group P4/mmm (No. 123)
Asymmetric unit:
Y  0.0000  0.0000  0.0000 x1  8 Zn 2.86
Sc  0.5000  0.5000  0.5000 x1  8 Zn 2.76
Zn  0.0000  0.0000  0.5000 x1  8 Zn 2.76
Zn  0.0000  0.5000  0.2643 x4  2 Sc 2.76, 5 Zn 2.76-3.06, 2 Y 2.86
Zn  0.5000  0.5000  0.0000 x1  8 Zn 2.86

Values from the calculation:
The calculation puts the formation enthalpy at 0 K at -28 kJ/mol of atoms. The calculation puts the total energy at -0.1043 hartree per atom.

---

[6]
Here is a relaxed structure of Sm2MgSi2 from the Open Quantum Materials Database. Energies are from GGA-PBE.

Cell: 7.3072 7.3072 4.3007 Å, 90.00 90.00 90.00°
Closest atoms and distances in Å follow each position.
Space group P4/mbm (No. 127)
Asymmetric unit:
Sm  0.1790  0.3210  0.0000 x4  6 Si 3.02-3.08
Mg  0.0000  0.0000  0.5000 x2  4 Si 2.93
Si  0.1164  0.6164  0.5000 x4  1 Si 2.41

Values from the calculation:
The calculation puts the total energy at -0.1861 hartree per atom.

---

[7]
Here is a relaxed structure of RbHoZnSe3 from the Open Quantum Materials Database. Energies are from GGA-PBE.

Cell: 18.2476 4.2294 8.9728 Å, 90.00 101.45 90.00°
Closest atoms and distances in Å follow each position.
Space group C2/m (No. 12)
Asymmetric unit:
Rb  0.1460  0.0000  0.0656 x4  7 Se 3.35-3.54
Ho  0.1684  0.0000  0.5675 x4  6 Se 2.82-3.01
Zn  0.0236  0.5000  0.7331 x4  2 Se 2.45-2.52
Se  0.0000  0.0000  0.5000 x2  4 Zn 2.95, 2 Ho 3.01
Se  0.0000  0.5000  0.0000 x2  2 Zn 2.52
Se  0.1602  0.5000  0.7764 x4  1 Zn 2.45
Se  0.1731  0.5000  0.3612 x4  3 Ho 2.82-2.84

Values from the calculation:
The calculation puts the total energy at -0.1504 hartree per atom.

---

[8]
Here is a relaxed structure of DyReOs from the Open Quantum Materials Database. Energies are from GGA-PBE.

Cell: 6.3350 6.3350 6.3350 Å, 90.00 90.00 90.00°
Closest atoms and distances in Å follow each position.
Space group F-43m (No. 216)
Asymmetric unit:
Dy  0.0000  0.0000  0.0000 x4  4 Os 2.74, 4 Re 2.74
Re  0.2500  0.2500  0.2500 x4  4 Dy 2.74
Os  0.2500  0.2500  0.7500 x4  4 Dy 2.74

Values from the calculation:
The calculation puts the formation enthalpy at 0 K at 171 kJ/mol of atoms. The calculation puts the total energy at -0.2810 hartree per atom.

---

[9]
Here is a relaxed structure of RbPaGa from the Open Quantum Materials Database. Energies are from GGA-PBE.

Cell: 7.4112 7.4112 7.4112 Å, 90.00 90.00 90.00°
Closest atoms and distances in Å follow each position.
Space group F-43m (No. 216)
Asymmetric unit:
Rb  0.0000  0.0000  0.0000 x4  4 Ga 3.21
Pa  0.0000  0.0000  0.5000 x4  4 Ga 3.21
Ga  0.2500  0.2500  0.7500 x4  4 Pa 3.21, 4 Rb 3.21

Values from the calculation:
For the energy above the most stable polymorph in this dataset, the calculation gives 0.0 meV/atom. The calculation puts the total energy at -0.1252 hartree per atom.

---

[10]
Here is a relaxed structure of TmGaCo from the Open Quantum Materials Database. Energies are from GGA-PBE.

Cell: 6.1125 6.1125 6.1125 Å, 90.00 90.00 90.00°
Closest atoms and distances in Å follow each position.
Space group F-43m (No. 216)
Asymmetric unit:
Tm  0.0000  0.0000  0.0000 x4  4 Co 2.65
Ga  0.0000  0.0000  0.5000 x4  4 Co 2.65
Co  0.2500  0.2500  0.7500 x4  4 Tm 2.65, 4 Ga 2.65

Values from the calculation:
The calculation puts the total energy at -0.1889 hartree per atom.

---

[11]
Here is a relaxed structure of Ac2Cd17 from the Open Quantum Materials Database. Energies are from GGA-PBE.

Cell: 10.2039 10.2039 15.0352 Å, 90.00 90.00 120.00°
Closest atoms and distances in Å follow each position.
Space group R-3m (No. 166, hexagonal axes)
Asymmetric unit:
Ac  0.0000  0.0000  0.1653 x6  19 Cd 3.53-3.95
Cd  0.0000  0.0000  0.4001 x6  7 Cd 3.00-3.30
Cd  0.0000  0.2960  0.5000 x18  8 Cd 2.94-3.18
Cd  0.0000  0.5000  0.0000 x9  10 Cd 2.94-3.11
Cd  0.0114  0.5057  0.6495 x18  8 Cd 2.89-3.18

Values from the calculation:
The calculation puts the formation enthalpy at 0 K at -20 kJ/mol of atoms. The calculation puts the total energy at -0.0528 hartree per atom.

---

[12]
Here is a relaxed structure of GdDy2Ni9 from the Open Quantum Materials Database. Energies are from GGA-PBE.

Cell: 4.9527 4.9527 24.3003 Å, 90.00 90.00 120.00°
Closest atoms and distances in Å follow each position.
Space group R-3m (No. 166, hexagonal axes)
Asymmetric unit:
Gd  0.0000  0.0000  0.0000 x3  18 Ni 2.86-3.18
Dy  0.0000  0.0000  0.1392 x6  12 Ni 2.84-3.07, 3 Dy 3.16
Ni  0.0000  0.0000  0.3331 x6  6 Ni 2.45-2.47
Ni  0.0000  0.0000  0.5000 x3  6 Ni 2.50
Ni  0.0008  0.5004  0.9176 x18  7 Ni 2.45-2.50

Values from the calculation:
The calculation puts the formation enthalpy at 0 K at -40 kJ/mol of atoms. The calculation puts the total energy at -0.2111 hartree per atom.

---

[13]
Here is a relaxed structure of CdH14C5NCl3O from the Open Quantum Materials Database. Energies are from GGA-PBE.

Cell: 16.6797 8.0759 7.7515 Å, 90.00 90.00 90.00°
Closest atoms and distances in Å follow each position.
Space group Pna2_1 (No. 33)
Asymmetric unit:
Cd  0.0105  0.0158  0.0000 x4  1 O 2.40, 5 Cl 2.60-2.67
H  0.0183  0.5945  0.0143 x4  1 C 1.10
H  0.0563  0.4787  0.3700 x4  1 C 1.10
H  0.0750  0.5798  0.6674 x4  1 C 1.10
H  0.0762  0.2297  0.3048 x4  1 O 1.00
H  0.0771  0.3730  0.7503 x4  1 C 1.10
H  0.1818  0.6566  0.4572 x4  1 C 1.10
H  0.1918  0.2154  0.7445 x4  1 C 1.09
H  0.1919  0.4596  0.3510 x4  1 C 1.10
H  0.1927  0.2089  0.5154 x4  1 C 1.09
H  0.1937  0.4770  0.8937 x4  1 C 1.10
H  0.1950  0.6677  0.7725 x4  1 C 1.10
H  0.2185  0.0322  0.2704 x4  1 C 1.10
H  0.2196  0.7832  0.1305 x4  1 C 1.10
H  0.2248  0.0450  0.9682 x4  1 C 1.10
C  0.0457  0.3958  0.4804 x4  2 H 1.10
C  0.0916  0.4509  0.6385 x4  2 H 1.10
C  0.2097  0.5338  0.4630 x4  3 H 1.10
C  0.2148  0.2755  0.6280 x4  3 H 1.09-1.10
C  0.2159  0.5391  0.7773 x4  3 H 1.10
N  0.1825  0.4490  0.6238 x4  4 C 1.49-1.52
Cl  0.0767  0.8412  0.2540 x4  4 H 2.61-2.89, 2 Cd 2.66
Cl  0.0995  0.9096  0.7363 x4  2 H 2.54-2.75, 2 Cd 2.66-2.67
Cl  0.1038  0.2668  0.0615 x4  1 H 1.96
O  0.0651  0.2293  0.4321 x4  1 H 1.00

Values from the calculation:
The calculation puts the total energy at -0.1807 hartree per atom.

---

[14]
Here is a relaxed structure of Ho4CoPd3 from the Open Quantum Materials Database. Energies are from GGA-PBE.

Cell: 5.5413 4.4335 6.9567 Å, 90.00 90.56 90.00°
Closest atoms and distances in Å follow each position.
Space group Pm (No. 6)
Asymmetric unit:
Ho  0.0000  0.0000  0.0000 x1  5 Pd 2.89-3.01, 2 Co 2.90
Ho  0.2124  0.0000  0.5203 x1  2 Co 2.90, 5 Pd 2.91-3.06
Ho  0.4874  0.5000  0.8680 x1  2 Co 2.82-3.04, 5 Pd 2.96-3.02
Ho  0.7202  0.5000  0.3762 x1  6 Pd 2.86-3.01, 1 Co 2.92
Co  0.0065  0.5000  0.7304 x1  2 Pd 2.80, 7 Ho 2.82-3.04
Pd  0.2035  0.5000  0.2370 x1  7 Ho 2.86-3.02, 2 Pd 2.86
Pd  0.5110  0.0000  0.1519 x1  2 Pd 2.86, 7 Ho 2.92-3.06
Pd  0.7127  0.0000  0.6513 x1  2 Co 2.80, 7 Ho 2.89-2.96

Values from the calculation:
The calculation puts the formation enthalpy at 0 K at -71 kJ/mol of atoms. The calculation puts the total energy at -0.2151 hartree per atom.

---

[15]
Here is a relaxed structure of FeReB2 from the Open Quantum Materials Database. Energies are from GGA-PBE.

Cell: 5.3981 5.3981 5.3981 Å, 90.00 90.00 90.00°
Closest atoms and distances in Å follow each position.
Space group F-43m (No. 216)
Asymmetric unit:
Fe  0.0000  0.0000  0.0000 x4  4 B 2.34, 4 Re 2.34
Re  0.2500  0.2500  0.7500 x4  4 Fe 2.34, 4 B 2.34
B  0.0000  0.0000  0.5000 x4  4 Re 2.34, 4 B 2.34
B  0.2500  0.2500  0.2500 x4  4 Fe 2.34, 4 B 2.34

Values from the calculation:
The calculation puts the total energy at -0.2805 hartree per atom.

---

[16]
Here is a relaxed structure of Co17As from the Open Quantum Materials Database. Energies are from GGA-PBE.

Cell: 4.2653 4.9324 30.9447 Å, 90.00 90.06 90.00°
Closest atoms and distances in Å follow each position.
Space group P2_1/m (No. 11)
Asymmetric unit:
Co  0.0000  0.0000  0.0000 x2  12 Co 2.46-2.47
Co  0.9996  0.0016  0.1960 x4  11 Co 2.45-2.49, 1 As 2.62
Co  0.1647  0.7500  0.8686 x2  12 Co 2.45-2.49
Co  0.1662  0.2500  0.0653 x2  12 Co 2.46-2.49
Co  0.1658  0.2500  0.2605 x2  7 Co 2.45-2.46, 2 As 2.47
Co  0.1673  0.7500  0.0651 x2  12 Co 2.46-2.48
Co  0.1684  0.2500  0.8695 x2  12 Co 2.44-2.48
Co  0.3328  0.9999  0.1301 x4  12 Co 2.45-2.50
Co  0.3333  0.9999  0.9347 x4  12 Co 2.46-2.49
Co  0.3346  0.5030  0.7396 x4  7 Co 2.43-2.50, 2 As 2.48
Co  0.4968  0.7500  0.8038 x2  12 Co 2.43-2.50
Co  0.4977  0.2500  0.8053 x2  11 Co 2.44-2.48, 1 As 2.66
Co  0.5005  0.2500  0.9999 x2  12 Co 2.46-2.48
As  0.1661  0.7500  0.2670 x2  9 Co 2.47-2.66

Values from the calculation:
For the energy above the most stable polymorph in this dataset, the calculation gives 0.0 meV/atom. The calculation puts the total energy at -0.2528 hartree per atom.

---

[17]
Here is a relaxed structure of LiMg2ZrAg2Au2 from the Open Quantum Materials Database. Energies are from GGA-PBE.

Cell: 4.7294 4.7294 6.5781 Å, 90.00 90.00 90.00°
Closest atoms and distances in Å follow each position.
Space group P-4m2 (No. 115)
Asymmetric unit:
Li  0.0000  0.0000  0.0000 x1  4 Ag 2.81, 4 Au 2.89
Mg  0.0000  0.0000  0.5000 x1  4 Au 2.87, 4 Ag 2.96
Mg  0.5000  0.5000  0.0000 x1  4 Ag 2.81, 4 Au 2.89
Zr  0.5000  0.5000  0.5000 x1  4 Au 2.87, 4 Ag 2.96
Ag  0.0000  0.5000  0.7705 x2  2 Li 2.81, 4 Mg 2.81-2.96, 2 Zr 2.96
Au  0.0000  0.5000  0.2536 x2  2 Zr 2.87, 4 Mg 2.87-2.89, 2 Li 2.89, 1 Ag 3.18

Values from the calculation:
The calculation puts the total energy at -0.1325 hartree per atom.

---

[18]
Here is a relaxed structure of Zr2NbAu from the Open Quantum Materials Database. Energies are from GGA-PBE.

Cell: 6.7866 6.7866 6.7866 Å, 90.00 90.00 90.00°
Closest atoms and distances in Å follow each position.
Space group F-43m (No. 216)
Asymmetric unit:
Zr  0.0000  0.0000  0.0000 x4  4 Zr 2.94, 4 Au 2.94
Zr  0.2500  0.2500  0.2500 x4  4 Zr 2.94, 4 Nb 2.94
Nb  0.0000  0.0000  0.5000 x4  4 Au 2.94, 4 Zr 2.94
Au  0.2500  0.2500  0.7500 x4  4 Zr 2.94, 4 Nb 2.94

Values from the calculation:
The calculation puts the formation enthalpy at 0 K at -4 kJ/mol of atoms. The calculation puts the total energy at -0.2814 hartree per atom.